(1)
A PBEsol-optimized structure of NaMnIO6. Source: the Alexandria database, functional meta-GGA SCAN.

Properties
As for the total magnetization: 3.00 Bohr magnetons per cell. For the raw total energy, the calculation gives -12.017 eV per atom.

Cell lengths 5.0107, 5.0107, 5.1956 Å; angles 90.00, 90.00, 120.00 degrees
Space group P312 (No. 149)
Symmetry-distinct sites (fractional):
Na: 0.0000 0.0000 0.0000 [1 per cell]
Mn: 0.3333 0.6667 0.5000 [1 per cell]
I: 0.6667 0.3333 0.5000 [1 per cell]
O: 0.0014 0.3757 0.7038 [6 per cell]

---

(2)
A PBEsol-optimized structure of NaMnI2O. Source: the Alexandria database, functional meta-GGA SCAN.

Properties
As for the total magnetization: 6.57 Bohr magnetons per cell. For the raw total energy, the calculation gives -20.475 eV per atom.

Cell lengths 5.611, 5.611, 4.136 Å; angles 90.00, 90.00, 90.00 degrees
Space group P4/mmm (No. 123)
Symmetry-distinct sites (fractional):
Na: 0.000 0.000 0.000 [1 per cell]
Mn: 0.500 0.500 0.500 [1 per cell]
I: 0.000 0.500 0.000 [2 per cell]
O: 0.000 0.000 0.500 [1 per cell]

---

(3)
A PBEsol-optimized structure of NaMnPtI2. Source: the Alexandria database, functional meta-GGA SCAN.

Properties
As for the total magnetization: 4.84 Bohr magnetons per cell. For the raw total energy, the calculation gives -32.505 eV per atom.

Cell lengths 5.415, 5.415, 4.953 Å; angles 90.00, 90.00, 90.00 degrees
Space group P4/mmm (No. 123)
Symmetry-distinct sites (fractional):
Na: 0.000 0.000 0.000 [1 per cell]
Mn: 0.500 0.500 0.500 [1 per cell]
Pt: 0.000 0.000 0.500 [1 per cell]
I: 0.000 0.500 0.000 [2 per cell]

---

(4)
A PBEsol-optimized structure of Rb2NaMnI. Source: the Alexandria database, functional meta-GGA SCAN.

Properties
As for the total magnetization: 5.05 Bohr magnetons per cell. For the raw total energy, the calculation gives -20.011 eV per atom.

Cell lengths 7.107, 7.107, 5.670 Å; angles 90.00, 90.00, 90.00 degrees
Space group P4/mmm (No. 123)
Symmetry-distinct sites (fractional):
Rb: 0.000 0.500 0.000 [2 per cell]
Na: 0.000 0.000 0.000 [1 per cell]
Mn: 0.500 0.500 0.500 [1 per cell]
I: 0.000 0.000 0.500 [1 per cell]

---

(5)
A PBEsol-optimized structure of Na2YMnI. Source: the Alexandria database, functional meta-GGA SCAN.

Properties
As for the total magnetization: 2.44 Bohr magnetons per cell. For the raw total energy, the calculation gives -17.692 eV per atom.

Cell lengths 5.371, 5.371, 5.055 Å; angles 90.00, 90.00, 90.00 degrees
Space group P4/mmm (No. 123)
Symmetry-distinct sites (fractional):
Na: 0.000 0.500 0.000 [2 per cell]
Y: 0.000 0.000 0.500 [1 per cell]
Mn: 0.500 0.500 0.000 [1 per cell]
I: 0.500 0.500 0.500 [1 per cell]

---

(6)
A PBEsol-optimized structure of MnNbI2. Source: the Alexandria database, functional meta-GGA SCAN.

Properties
As for the total magnetization: 19.54 Bohr magnetons per cell. For the raw total energy, the calculation gives -30.696 eV per atom.

Cell lengths 6.886, 6.886, 6.886 Å; angles 90.00, 90.00, 90.00 degrees
Space group Fm-3m (No. 225)
Symmetry-distinct sites (fractional):
Mn: 0.000 0.000 0.000 [4 per cell]
Nb: 0.000 0.000 0.500 [4 per cell]
I: 0.250 0.250 0.250 [8 per cell]

---

(7)
A PBEsol-optimized structure of MnNb2PI. Source: the Alexandria database, functional meta-GGA SCAN.

Properties
As for the total magnetization: 1.49 Bohr magnetons per cell. For the raw total energy, the calculation gives -24.466 eV per atom.

Cell lengths 4.996, 4.996, 5.056 Å; angles 90.00, 90.00, 90.00 degrees
Space group P4/mmm (No. 123)
Symmetry-distinct sites (fractional):
Mn: 0.000 0.000 0.000 [1 per cell]
Nb: 0.000 0.500 0.500 [2 per cell]
P: 0.500 0.500 0.000 [1 per cell]
I: 0.500 0.500 0.500 [1 per cell]

---

(8)
A PBEsol-optimized structure of Mn3NiI. Source: the Alexandria database, functional meta-GGA SCAN.

Properties
As for the total magnetization: 10.72 Bohr magnetons per cell. For the raw total energy, the calculation gives -20.041 eV per atom.

Cell lengths 4.684, 4.684, 4.684 Å; angles 90.00, 90.00, 90.00 degrees
Space group Pm-3m (No. 221)
Symmetry-distinct sites (fractional):
Mn: 0.000 0.000 0.500 [3 per cell]
Ni: 0.500 0.500 0.500 [1 per cell]
I: 0.000 0.000 0.000 [1 per cell]

---

(9)
A PBEsol-optimized structure of MnNiTeI2. Source: the Alexandria database, functional meta-GGA SCAN.

Properties
As for the total magnetization: 5.20 Bohr magnetons per cell. For the raw total energy, the calculation gives -28.723 eV per atom.

Cell lengths 5.090, 5.090, 5.155 Å; angles 90.00, 90.00, 90.00 degrees
Space group P4/mmm (No. 123)
Symmetry-distinct sites (fractional):
Mn: 0.000 0.000 0.000 [1 per cell]
Ni: 0.500 0.500 0.500 [1 per cell]
Te: 0.500 0.500 0.000 [1 per cell]
I: 0.000 0.500 0.500 [2 per cell]

---

(10)
A PBEsol-optimized structure of Mn2IO. Source: the Alexandria database, functional meta-GGA SCAN.

Properties
As for the total magnetization: 36.00 Bohr magnetons per cell. For the raw total energy, the calculation gives -19.879 eV per atom.

Cell lengths 6.338, 6.338, 6.338 Å; angles 90.00, 90.00, 90.00 degrees
Space group Fm-3m (No. 225)
Symmetry-distinct sites (fractional):
Mn: 0.250 0.250 0.250 [8 per cell]
I: 0.000 0.000 0.000 [4 per cell]
O: 0.000 0.000 0.500 [4 per cell]

---

(11)
A PBEsol-optimized structure of MnI2O6. Source: the Alexandria database, functional meta-GGA SCAN.

Properties
The calculation puts the energy above the most stable polymorph in this dataset at 0.0 meV per atom. As for the total magnetization: 10.00 Bohr magnetons per cell. For the raw total energy, the calculation gives -15.149 eV per atom.

Cell lengths 5.533, 4.958, 9.503 Å; angles 90.00, 90.29, 90.00 degrees
Space group P2_1 (No. 4)
Symmetry-distinct sites (fractional):
Mn: 0.233 0.000 0.245 [2 per cell]
I: 0.263 0.554 0.567 [2 per cell]
I: 0.267 0.071 0.900 [2 per cell]
O: 0.018 0.234 0.384 [2 per cell]
O: 0.094 0.282 0.773 [2 per cell]
O: 0.144 0.214 0.064 [2 per cell]
O: 0.347 0.775 0.418 [2 per cell]
O: 0.447 0.767 0.104 [2 per cell]
O: 0.461 0.725 0.697 [2 per cell]

---

(12)
A PBEsol-optimized structure of MnI2O6. Source: the Alexandria database, functional meta-GGA SCAN.

Properties
The calculation puts the energy above the most stable polymorph in this dataset at 22.4 meV per atom. As for the total magnetization: 20.00 Bohr magnetons per cell. For the raw total energy, the calculation gives -15.126 eV per atom.

Cell lengths 5.339, 5.647, 16.807 Å; angles 90.00, 90.00, 90.00 degrees
Space group P2_12_12_1 (No. 19)
Symmetry-distinct sites (fractional):
Mn: 0.203 0.178 0.094 [4 per cell]
I: 0.044 0.852 0.924 [4 per cell]
I: 0.245 0.262 0.789 [4 per cell]
O: 0.026 0.047 0.204 [4 per cell]
O: 0.030 0.468 0.841 [4 per cell]
O: 0.064 0.611 0.517 [4 per cell]
O: 0.108 0.492 0.666 [4 per cell]
O: 0.129 0.893 0.380 [4 per cell]
O: 0.239 0.167 0.548 [4 per cell]